No. 1
DFT (GGA-PBE) results for a geometry-optimized SrBRh structure.

```
3
Lattice="3.663 0.000 0.000 -1.832 3.172 0.000 0.000 0.000 4.798" Properties=species:S:1:pos:R:3 pbc="T T T"
Sr 0.000 0.000 0.000
B 0.000 2.115 2.399
Rh 1.832 1.057 2.399
```

Summary:
Total energy   -0.4063 Ry/atom
Calculated volume   55.8 Å³ per cell
Formation energy   -28.1 kJ per mole of atoms
Space-group type   P-6m2, No. 187
Polymorph energy (0 for the lowest one)   144 meV per atom

No. 2
DFT (GGA-PBE) results for a geometry-optimized SrB4Rh4 structure.

```
18
Lattice="7.605 0.000 0.000 0.000 7.605 0.000 0.000 0.000 4.036" Properties=species:S:1:pos:R:3 pbc="T T T"
Sr 1.901 1.901 1.009
Sr 5.704 5.704 3.027
B 0.317 4.463 0.575
B 0.661 7.288 2.593
B 3.142 4.120 2.593
B 3.485 6.944 0.575
B 4.120 0.661 3.462
B 4.463 3.485 1.443
B 6.944 0.317 1.443
B 7.288 3.142 3.462
Rh 0.758 6.565 0.573
Rh 1.040 4.561 2.591
Rh 2.763 6.847 2.591
Rh 3.044 4.842 0.573
Rh 4.561 2.763 3.464
Rh 4.842 0.758 1.445
Rh 6.565 3.044 1.445
Rh 6.847 1.040 3.464
```

Summary:
Total energy   -0.5073 Ry/atom
Calculated volume   233.4 Å³ per cell
Formation energy   -46.3 kJ per mole of atoms
Space-group type   P4_2/n, No. 86

formation energy of number 1 (SrBRh)? -28.1 kJ per mole of atoms

Which value of formation energy does entry 1 give? -28.1 kJ per mole of atoms

What is the formula in the first record? SrBRh